TbThMgCu: relaxed, GGA-PBE.

Unit cell a=7.352 b=7.352 c=7.352 alpha=90.00 beta=90.00 gamma=90.00
Fractional coordinates of all 16 atoms:
Tb  0.000  0.000  0.000
Tb  0.000  0.500  0.500
Tb  0.500  0.000  0.500
Tb  0.500  0.500  0.000
Th  0.000  0.000  0.500
Th  0.000  0.500  0.000
Th  0.500  0.000  0.000
Th  0.500  0.500  0.500
Mg  0.250  0.250  0.750
Mg  0.250  0.750  0.250
Mg  0.750  0.250  0.250
Mg  0.750  0.750  0.750
Cu  0.250  0.250  0.250
Cu  0.250  0.750  0.750
Cu  0.750  0.250  0.750
Cu  0.750  0.750  0.250

Output
ΔH_f (0 K) = 41 meV per atom